# Pu6Zn (PBE, relaxed)
# V in Å³ per atom: 21.28
# ΔE_f in meV/atom: 445
# Spin magnetization in μB per formula unit: 0.0
# Crystal system: cubic
# VASP energy in eV/atom: -12.0212
data_Pu6Zn
_cell_length_a 6.6783
_cell_length_b 6.6783
_cell_length_c 6.6783
_cell_angle_alpha 90.00
_cell_angle_beta 90.00
_cell_angle_gamma 90.00
_symmetry_space_group_name_H-M 'I m -3 m'
_symmetry_Int_Tables_number 229
_symmetry_space_group_name_Hall '-I 4 2 3'
loop_
_atom_site_label
_atom_site_fract_x
_atom_site_fract_y
_atom_site_fract_z
_atom_site_occupancy
Pu1 0.0000 0.2500 0.5000 1
Zn1 0.0000 0.0000 0.0000 1